Entry 1:
## InPNF2 (PBE)

Data for a relaxed structure of InPNF2.

```
InPNF2
1.0
4.1672 0.0000 0.0000
0.0000 4.1672 0.0000
0.0000 0.0000 4.4985
In P N F
1 1 1 2
Cartesian
0.0000 0.0000 0.0000
2.0836 2.0836 2.2493
0.0000 0.0000 2.2493
0.0000 2.0836 0.0000
2.0836 0.0000 0.0000
```

**Energy above the lowest structure with this stoichiometry**: 491 meV per atom
**Formation energy from raw total energies**: -0.154 eV/atom
**DOS at the Fermi energy**: 0.72 states/eV/f.u.

---

Entry 2:
## NaAg2SnH (PBE)

Data for a relaxed structure of NaAg2SnH.

```
NaAg2SnH
1.0
4.3627 0.0000 0.0000
0.0000 4.3627 0.0000
0.0000 0.0000 4.5077
Na Ag Sn H
1 2 1 1
Cartesian
0.0000 0.0000 0.0000
0.0000 2.1814 2.2538
2.1814 0.0000 2.2538
2.1814 2.1814 0.0000
0.0000 0.0000 2.2538
```

**Final energy**: -13.85 eV per formula unit
**DOS at the Fermi energy**: 1.39 states/eV/f.u.

---

Entry 3:
## BeNiW (PBE)

Data for a relaxed structure of BeNiW.

```
BeNiW
1.0
-2.1796 2.7869 2.8582
2.1796 -2.7869 2.8582
2.1796 2.7869 -2.8582
Be Ni W
2 2 2
Cartesian
0.0000 0.0000 0.0000
2.1796 0.0000 0.0000
1.0898 1.9645 0.9893
1.0898 0.8224 3.8475
1.0898 -0.8320 1.9805
1.0898 3.6189 -0.8776
```

**Energy above the lowest structure with this stoichiometry**: 201 meV per atom
**Energy of formation from the pure elements**: -4.0 kJ per mole of atoms
**DOS at the Fermi energy**: 2.16 states/eV/f.u.

---

Entry 4:
## Ce2HoEr3Tm6 (PBE)

Data for a relaxed structure of Ce2HoEr3Tm6.

```
Ce2HoEr3Tm6
1.0
3.0295 -5.2446 0.0000
3.0295 5.2446 0.0000
-2.0184 0.0000 11.3954
Ce Ho Er Tm
2 1 3 6
Cartesian
3.0295 3.4973 0.0000
3.0295 -3.4973 0.0000
3.0295 0.0000 0.0000
-1.0092 0.0000 5.6977
2.0203 1.7418 5.6977
2.0203 -1.7418 5.6977
-0.0072 1.7574 8.5487
1.0017 0.0000 2.8473
-0.0072 -1.7574 8.5487
4.0479 1.7574 2.8467
3.0390 0.0000 8.5481
4.0479 -1.7574 2.8467
```

**Energy of formation from the pure elements**: 4.6 kJ per mole of atoms
**DOS at the Fermi energy**: 21.60 states/eV/f.u.

---

Entry 5:
## BiSb2OsRu (PBE)

Data for a relaxed structure of BiSb2OsRu.

```
BiSb2OsRu
1.0
4.9796 0.0000 0.0000
0.0000 4.9796 0.0000
0.0000 0.0000 5.2287
Bi Sb Os Ru
1 2 1 1
Cartesian
0.0000 0.0000 0.0000
0.0000 2.4898 2.6143
2.4898 0.0000 2.6143
2.4898 2.4898 0.0000
0.0000 0.0000 2.6143
```

**Formation energy from raw total energies**: 1.314 eV/atom
**DOS at the Fermi energy**: 8.03 states/eV/f.u.

---

Entry 6:
## CrAg2Br (PBE)

Data for a relaxed structure of CrAg2Br.

```
CrAg2Br
1.0
0.0000 3.4576 3.4576
3.4576 0.0000 3.4576
3.4576 3.4576 0.0000
Cr Ag Br
1 2 1
Cartesian
0.0000 0.0000 0.0000
1.7288 1.7288 1.7288
5.1863 5.1863 5.1863
3.4576 3.4576 3.4576
```

**Energy above the lowest structure with this stoichiometry**: 396 meV per atom
**Formation energy from raw total energies**: 0.583 eV/atom
**DOS at the Fermi energy**: 1.01 states/eV/f.u.

---

Among the records above, which one has the highest DOS at the Fermi energy?
Ce2HoEr3Tm6

---

The lowest DOS at the Fermi energy belongs to which entry?
InPNF2